Pm8Pr2Hg after structural relaxation, computed with PBE.

POSCAR file:
```
Pm8Pr2Hg
1.0
8.912 -2.815 0.000
8.912 2.815 0.000
-2.820 0.000 7.400
Pm Pr Hg
8 2 1
direct
0.016 0.016 0.270
0.181 0.181 0.732
0.335 0.335 0.570
0.400 0.400 0.072
0.600 0.600 0.928
0.665 0.665 0.430
0.819 0.819 0.268
0.984 0.984 0.730
0.186 0.186 0.160
0.814 0.814 0.840
0.500 0.500 0.500
```

Properties
Calculated total energy = -47.68 eV per cell
SG = No. 12
Magnetic moment = 0.00 Bohr magnetons per cell